1.
{
  "formula": "Ge6Ir3Rh",
  "functional": "PBE-GGA",
  "state": "optimized geometry",
  "cell": [[6.6520, 0.0000, -0.5988], [0.0000, 6.1098, 0.0000], [-0.6185, 0.0000, 8.4171]],
  "species": ["Ge", "Ge", "Ge", "Ge", "Ge", "Ge", "Ge", "Ge", "Ge", "Ge", "Ge", "Ge", "Ir", "Ir", "Ir", "Ir", "Ir", "Ir", "Rh", "Rh"],
  "fractional_positions": [[0.1913, 0.9913, 0.7739], [0.3087, 0.4913, 0.7261], [0.6913, 0.5087, 0.2739], [0.8332, 0.6362, 0.9304], [0.3418, 0.8341, 0.0943], [0.3332, 0.8638, 0.4304], [0.6668, 0.1362, 0.5696], [0.1668, 0.3638, 0.0696], [0.8087, 0.0087, 0.2261], [0.1582, 0.3341, 0.4057], [0.8418, 0.6659, 0.5943], [0.6582, 0.1659, 0.9057], [0.4792, 0.1585, 0.2607], [0.5208, 0.8415, 0.7393], [0.5000, 0.5000, 0.0000], [0.9792, 0.3415, 0.7607], [0.0000, 0.0000, 0.5000], [0.0208, 0.6585, 0.2393], [0.0000, 0.0000, 0.0000], [0.5000, 0.5000, 0.5000]],
  "crystal_system": "monoclinic",
  "e_above_lowest_polymorph_ev_per_atom": 0.000,
  "space_group": "No. 14",
  "e_tot_ev_per_atom": -6.4147
}

=====

2.
{
  "formula": "Ge6IrRh3",
  "functional": "PBE-GGA",
  "state": "optimized geometry",
  "cell": [[-4.7179, 3.1368, -3.5068], [-4.1525, -1.4012, 4.3333], [1.6131, 7.1193, 3.8478]],
  "species": ["Rh", "Rh", "Rh", "Rh", "Rh", "Rh", "Ge", "Ge", "Ge", "Ge", "Ge", "Ge", "Ge", "Ge", "Ge", "Ge", "Ge", "Ge", "Ir", "Ir"],
  "fractional_positions": [[0.5000, 0.5000, 0.0000], [0.0000, 0.0000, 0.5000], [0.5235, 0.8378, 0.7509], [0.9765, 0.3378, 0.7491], [0.4765, 0.1622, 0.2491], [0.0235, 0.6622, 0.2509], [0.3466, 0.8588, 0.0667], [0.6535, 0.1466, 0.5743], [0.1897, 0.9861, 0.7457], [0.8103, 0.0139, 0.2543], [0.1535, 0.3534, 0.0743], [0.8466, 0.6412, 0.5667], [0.6534, 0.1412, 0.9333], [0.6897, 0.5139, 0.2457], [0.3465, 0.8534, 0.4257], [0.1534, 0.3588, 0.4333], [0.8465, 0.6466, 0.9257], [0.3103, 0.4861, 0.7543], [0.0000, 0.0000, 0.0000], [0.5000, 0.5000, 0.5000]],
  "crystal_system": "monoclinic",
  "space_group": "No. 14",
  "e_tot_ev_per_atom": -6.1778
}

=====

3.
{
  "formula": "Ge4Ir2Rh",
  "functional": "PBE-GGA",
  "state": "optimized geometry",
  "cell": [[-2.9545, -0.1558, -0.0394], [0.6657, -11.3698, -4.9510], [0.1126, -5.1075, 11.7444]],
  "species": ["Rh", "Rh", "Rh", "Rh", "Ge", "Ge", "Ge", "Ge", "Ge", "Ge", "Ge", "Ge", "Ge", "Ge", "Ge", "Ge", "Ge", "Ge", "Ge", "Ge", "Ir", "Ir", "Ir", "Ir", "Ir", "Ir", "Ir", "Ir"],
  "fractional_positions": [[0.2500, 0.8662, 0.3987], [0.2500, 0.3662, 0.1013], [0.7500, 0.1338, 0.6013], [0.7500, 0.6338, 0.8987], [0.7500, 0.3210, 0.2661], [0.2500, 0.2452, 0.4736], [0.7500, 0.7548, 0.5264], [0.7500, 0.8210, 0.2339], [0.2500, 0.7452, 0.0264], [0.7500, 0.5366, 0.0921], [0.7500, 0.2548, 0.9736], [0.2500, 0.0495, 0.1384], [0.2500, 0.4634, 0.9079], [0.7500, 0.0366, 0.4079], [0.2500, 0.1790, 0.7661], [0.2500, 0.9634, 0.5921], [0.7500, 0.9505, 0.8616], [0.2500, 0.5495, 0.3616], [0.2500, 0.6790, 0.7339], [0.7500, 0.4505, 0.6384], [0.2500, 0.0886, 0.9469], [0.7500, 0.8455, 0.7033], [0.7500, 0.9114, 0.0531], [0.7500, 0.3455, 0.7967], [0.2500, 0.1545, 0.2967], [0.7500, 0.4114, 0.4469], [0.2500, 0.6545, 0.2033], [0.2500, 0.5886, 0.5531]],
  "crystal_system": "orthorhombic",
  "space_group": "No. 62",
  "e_tot_ev_per_atom": -6.4693
}

=====

4.
{
  "formula": "Ge6IrRh2",
  "functional": "PBE-GGA",
  "state": "optimized geometry",
  "cell": [[-4.9549, -2.4656, -2.6595], [3.5341, -4.8396, -2.0976], [0.9164, -2.8287, 8.0700]],
  "species": ["Ir", "Ir", "Rh", "Rh", "Rh", "Rh", "Ge", "Ge", "Ge", "Ge", "Ge", "Ge", "Ge", "Ge", "Ge", "Ge", "Ge", "Ge"],
  "fractional_positions": [[0.5000, 0.5000, 0.0000], [0.0000, 0.0000, 0.5000], [0.9968, 0.6224, 0.2188], [0.4968, 0.8776, 0.7188], [0.5032, 0.1224, 0.2812], [0.0032, 0.3776, 0.7812], [0.1929, 0.0263, 0.8102], [0.3014, 0.8102, 0.0833], [0.3264, 0.8337, 0.4111], [0.3071, 0.5263, 0.6898], [0.6736, 0.1663, 0.5889], [0.6929, 0.4737, 0.3102], [0.8014, 0.6898, 0.5833], [0.6986, 0.1898, 0.9167], [0.1986, 0.3102, 0.4167], [0.1736, 0.3337, 0.0889], [0.8071, 0.9737, 0.1898], [0.8264, 0.6663, 0.9111]],
  "crystal_system": "monoclinic",
  "space_group": "No. 14",
  "e_tot_ev_per_atom": -5.8905
}